(1)
The following is a DFT calculation (GGA-PBE) of a relaxed Na7Li crystal.

```
Na7Li
1.0
0.000 5.179 5.179
5.179 0.000 5.179
5.179 5.179 0.000
Na Li
7 1
Direct
0.000 0.000 0.000
0.000 0.000 0.500
0.000 0.500 0.000
0.000 0.500 0.500
0.500 0.000 0.000
0.500 0.000 0.500
0.500 0.500 0.000
0.500 0.500 0.500
```

Results
The total energy is -1.36 eV/atom. The size of the total moment comes out at 0.00 μB/cell.


(2)
The following is a DFT calculation (GGA-PBE) of a relaxed Fe2HgAs crystal.

```
Fe2HgAs
1.0
3.729 -2.040 0.000
3.729 2.040 0.000
-3.391 0.000 4.805
Fe Hg As
2 1 1
Direct
0.144 0.144 0.447
0.856 0.856 0.553
0.500 0.500 0.000
0.500 0.500 0.500
```

Results
The offset from the most stable computed form is 6.28 kJ per mole of atoms. The size of the total moment comes out at 4.71 μB/cell.


(3)
The following is a DFT calculation (GGA-PBE) of a relaxed BaYMg crystal.

```
BaYMg
1.0
-2.005 2.005 6.948
2.005 -2.005 6.948
2.005 2.005 -6.948
Ba Y Mg
1 1 1
Direct
0.000 0.000 0.000
0.709 0.709 0.000
0.325 0.325 0.000
```

Results
The offset from the most stable computed form is 0.00 kJ per mole of atoms. The size of the total moment comes out at 0.00 μB/cell.


(4)
The following is a DFT calculation (GGA-PBE) of a relaxed Ho8Co2Hg crystal.

```
Ho8Co2Hg
1.0
4.248 -6.498 0.000
4.248 6.498 0.000
-1.255 0.000 5.178
Ho Co Hg
8 2 1
Direct
0.068 0.332 0.577
0.247 0.753 0.000
0.332 0.068 0.577
0.384 0.384 0.197
0.616 0.616 0.803
0.668 0.932 0.423
0.753 0.247 0.000
0.932 0.668 0.423
0.306 0.694 0.500
0.694 0.306 0.500
0.000 0.000 0.000
```

Results
The total energy is -4.77 eV/atom. The size of the total moment comes out at 0.00 μB/cell.


(5)
The following is a DFT calculation (GGA-PBE) of a relaxed Li5Tb3F12 crystal.

```
Li5Tb3F12
1.0
-6.181 6.181 6.181
6.181 -6.181 6.181
6.181 6.181 -6.181
Li Tb F
20 12 48
Direct
0.000 0.000 0.000
0.000 0.000 0.500
0.000 0.500 0.000
0.000 0.500 0.500
0.125 0.750 0.875
0.125 0.875 0.250
0.250 0.125 0.875
0.250 0.625 0.375
0.375 0.250 0.625
0.375 0.625 0.750
0.500 0.000 0.000
0.500 0.000 0.500
0.500 0.500 0.000
0.500 0.500 0.500
0.625 0.375 0.250
0.625 0.750 0.375
0.750 0.375 0.625
0.750 0.875 0.125
0.875 0.125 0.750
0.875 0.250 0.125
0.125 0.250 0.375
0.125 0.375 0.750
0.250 0.375 0.125
0.250 0.875 0.625
0.375 0.125 0.250
0.375 0.750 0.125
0.625 0.250 0.875
0.625 0.875 0.750
0.750 0.125 0.375
0.750 0.625 0.875
0.875 0.625 0.250
0.875 0.750 0.625
0.027 0.212 0.121
0.027 0.314 0.906
0.092 0.712 0.686
0.092 0.879 0.406
0.094 0.621 0.408
0.094 0.973 0.686
0.121 0.027 0.212
0.121 0.594 0.908
0.186 0.212 0.592
0.186 0.473 0.594
0.212 0.121 0.027
0.212 0.592 0.186
0.288 0.314 0.908
0.288 0.473 0.379
0.314 0.906 0.027
0.314 0.908 0.288
0.379 0.288 0.473
0.379 0.592 0.906
0.406 0.092 0.879
0.406 0.814 0.527
0.408 0.094 0.621
0.408 0.814 0.788
0.473 0.379 0.288
0.473 0.594 0.186
0.527 0.406 0.814
0.527 0.621 0.712
0.592 0.186 0.212
0.592 0.906 0.379
0.594 0.186 0.473
0.594 0.908 0.121
0.621 0.408 0.094
0.621 0.712 0.527
0.686 0.092 0.712
0.686 0.094 0.973
0.712 0.527 0.621
0.712 0.686 0.092
0.788 0.408 0.814
0.788 0.879 0.973
0.814 0.527 0.406
0.814 0.788 0.408
0.879 0.406 0.092
0.879 0.973 0.788
0.906 0.027 0.314
0.906 0.379 0.592
0.908 0.121 0.594
0.908 0.288 0.314
0.973 0.686 0.094
0.973 0.788 0.879
```

Results
For the raw formation energy, the calculation gives -3.28 eV per atom. The size of the total moment comes out at 0.00 μB/cell.


(6)
The following is a DFT calculation (GGA-PBE) of a relaxed MgH12S2O12 crystal.

```
MgH12S2O12
1.0
5.691 0.000 0.000
0.095 7.744 0.000
2.436 1.002 8.573
Mg H S O
1 12 2 12
Direct
0.000 0.000 0.000
0.116 0.814 0.249
0.361 0.841 0.111
0.382 0.338 0.753
0.440 0.822 0.675
0.466 0.361 0.571
0.471 0.107 0.368
0.529 0.893 0.632
0.534 0.639 0.429
0.560 0.178 0.325
0.618 0.662 0.247
0.639 0.159 0.889
0.884 0.186 0.751
0.027 0.399 0.436
0.973 0.601 0.564
0.010 0.209 0.137
0.014 0.767 0.455
0.180 0.847 0.135
0.228 0.268 0.048
0.315 0.168 0.922
0.430 0.426 0.661
0.570 0.574 0.339
0.685 0.832 0.078
0.772 0.732 0.952
0.820 0.153 0.865
0.986 0.233 0.545
0.990 0.791 0.863
```

Results
The total energy is -4.71 eV/atom. The size of the total moment comes out at 1.97 μB/cell.


size of the total moment of number 4 (Ho8Co2Hg)? 0.00 μB/cell